Entry 1:
4
Lattice="-4.757 1.643 1.282 0.717 -5.198 -1.196 1.840 1.812 4.506" Properties=species:S:1:pos:R:3 comment="KPb2Au (GGA-PBEsol, optimized geometry)" magmom_total_mub_per_fu=0.00 space_group="I-4m2, No. 119" dos_at_fermi_per_ev_cell=1.10 formation_enthalpy_0k_ev_per_atom=0.0207 pbc="T T T"
Au -1.459 1.728 2.894
K 0.550 -0.829 3.102
Pb 0.000 0.000 0.000
Pb -2.749 -0.914 1.490

=====

Entry 2:
5
Lattice="-3.732 -1.975 -1.467 -0.318 -2.256 3.846 -2.440 3.315 1.743" Properties=species:S:1:pos:R:3 comment="ZrPt3S (GGA-PBEsol, optimized geometry)" magmom_total_mub_per_fu=0.00 e_form_raw_ev_per_fu=-0.05 space_group="Pm-3m, No. 221" dos_at_fermi_per_ev_cell=3.89 pbc="T T T"
S 0.000 0.000 0.000
Zr -3.245 -0.459 2.061
Pt -0.159 -1.128 1.923
Pt -1.220 1.657 0.872
Pt -1.866 -0.988 -0.734

=====

Entry 3:
5
Lattice="4.945 0.000 0.000 0.000 4.985 0.000 0.000 0.000 4.985" Properties=species:S:1:pos:R:3 comment="HfNbIrBr2 (GGA-PBEsol, optimized geometry)" magmom_total_mub_per_fu=3.38 e_form_raw_ev_per_fu=4.53 space_group="P4/mmm, No. 123" dos_at_fermi_per_ev_cell=6.01 pbc="T T T"
Nb 2.472 2.493 2.493
Ir 2.472 0.000 0.000
Hf 0.000 0.000 0.000
Br 0.000 0.000 2.493
Br 0.000 2.493 0.000

=====

Entry 4:
8
Lattice="-2.375 -2.092 -4.496 4.621 0.877 -2.848 1.801 -5.009 1.380" Properties=species:S:1:pos:R:3 comment="Mg3Hg (GGA-PBEsol, optimized geometry)" magmom_total_mub_per_fu=0.00 space_group="Pm-3n, No. 223" dos_at_fermi_per_ev_cell=2.93 formation_enthalpy_0k_ev_per_atom=-0.1643 pbc="T T T"
Mg 2.055 -2.285 -0.022
Mg 4.366 -1.847 -1.446
Mg 1.717 -0.085 -2.548
Mg -0.737 -2.298 -1.903
Mg 0.163 -4.802 -1.213
Mg 0.529 -1.131 -4.796
Hg 0.000 0.000 0.000
Hg 2.023 -3.112 -2.982

=====

Entry 5:
4
Lattice="-1.698 1.003 -1.745 -1.573 -2.085 0.332 -3.687 3.691 5.711" Properties=species:S:1:pos:R:3 comment="Li2PPt (GGA-PBEsol, optimized geometry)" magmom_total_mub_per_fu=0.00 space_group="P4/mmm, No. 123" dos_at_fermi_per_ev_cell=1.21 formation_enthalpy_0k_ev_per_atom=-0.4355 pbc="T T T"
P -3.479 1.304 2.149
Pt -1.636 -0.541 -0.706
Li -0.925 0.926 1.433
Li -2.762 2.765 4.278

=====

Entry 6:
5
Lattice="-2.038 -3.075 -0.902 2.739 -2.704 3.031 -3.096 0.976 3.669" Properties=species:S:1:pos:R:3 comment="CdPt2WC (GGA-PBEsol, optimized geometry)" magmom_total_mub_per_fu=2.70 space_group="P4/mmm, No. 123" dos_at_fermi_per_ev_cell=4.39 formation_enthalpy_0k_ev_per_atom=2.5011 pbc="T T T"
C -1.019 -1.538 -0.451
W -1.197 -2.402 2.899
Pt -1.548 0.488 1.835
Pt 1.370 -1.352 1.516
Cd 0.000 0.000 0.000

=====

Entry 7:
4
Lattice="3.008 0.062 0.064 -0.149 5.186 0.064 -0.149 -0.073 5.186" Properties=species:S:1:pos:R:3 comment="Au2SeCl (GGA-PBEsol, optimized geometry)" magmom_total_mub_per_fu=0.00 de_polymorph_ev_per_atom=0.000 e_form_raw_ev_per_fu=0.60 space_group="C2/m, No. 12" dos_at_fermi_per_ev_cell=1.34 pbc="T T T"
Au -0.075 -0.036 2.593
Au -0.075 2.593 0.032
Se 0.000 0.000 0.000
Cl -0.149 2.557 2.625

=====

Entry 8:
5
Lattice="4.996 0.000 0.000 0.000 4.996 0.000 0.000 0.000 4.996" Properties=species:S:1:pos:R:3 comment="Ag3MoBr (GGA-PBEsol, optimized geometry)" magmom_total_mub_per_fu=4.71 e_form_raw_ev_per_fu=7.95 space_group="Pm-3m, No. 221" dos_at_fermi_per_ev_cell=2.51 pbc="T T T"
Mo 2.498 2.498 2.498
Br 0.000 0.000 0.000
Ag 0.000 2.498 0.000
Ag 0.000 0.000 2.498
Ag 2.498 0.000 0.000